(1)
The following is a DFT calculation (PBE) of an optimized crystal structure of PrHoTl2Se4.

a b c (Å): 4.2640 7.3917 8.1425
angles (deg): 107.57 90.00 90.00
Last column: nearest neighbours and their distance in Å.
Element x y z (fractional)
Ho  0.0000  0.0000  0.0000  6 Se 2.89-2.90
Se  0.5000  0.2253  0.2053  2 Ho 2.90, 1 Pr 2.99
Se  0.0000  0.2533  0.7900  1 Ho 2.89, 2 Pr 2.99
Se  0.5000  0.7747  0.7947  2 Ho 2.90, 1 Pr 2.99
Se  0.0000  0.7467  0.2100  1 Ho 2.89, 2 Pr 2.99
Tl  0.0000  0.5000  0.5000  6 Se 3.39
Tl  0.5000  0.0000  0.5000  6 Se 3.31
Pr  0.5000  0.5000  0.0000  6 Se 2.99

Computed properties:
Symmetry   P2/m, No. 10
Uncorrected energy   -4.88 eV/atom
M_tot   0.00 μB per cell

(2)
The following is a DFT calculation (PBE) of an optimized crystal structure of Pr2HoTl3Se6.

a b c (Å): 7.4420 7.4420 8.1458
angles (deg): 98.75 98.75 119.99
Last column: nearest neighbours and their distance in Å.
Element x y z (fractional)
Pr  0.6665  0.3335  0.0000  6 Se 3.00-3.01
Pr  0.3335  0.6665  0.0000  6 Se 3.00-3.01
Se  0.2519  0.2519  0.7892  1 Ho 2.90, 2 Pr 3.01
Se  0.9305  0.6083  0.7917  1 Ho 2.89, 2 Pr 3.00
Se  0.6083  0.9305  0.7917  1 Ho 2.89, 2 Pr 3.00
Se  0.3917  0.0695  0.2083  1 Ho 2.89, 2 Pr 3.00
Se  0.0695  0.3917  0.2083  1 Ho 2.89, 2 Pr 3.00
Se  0.7481  0.7481  0.2108  1 Ho 2.90, 2 Pr 3.01
Tl  0.1684  0.8316  0.5000  6 Se 3.33-3.41
Tl  0.5000  0.5000  0.5000  6 Se 3.33-3.41
Tl  0.8316  0.1684  0.5000  6 Se 3.33-3.41
Ho  0.0000  0.0000  0.0000  6 Se 2.89-2.90

Computed properties:
Symmetry   C2/m, No. 12
Uncorrected energy   -4.89 eV/atom
M_tot   0.00 μB per cell

(3)
The following is a DFT calculation (PBE) of an optimized crystal structure of Pr2HoTm3Se6.

a b c (Å): 4.0527 8.3397 9.2421
angles (deg): 104.67 102.66 90.00
Last column: nearest neighbours and their distance in Å.
Element x y z (fractional)
Se  0.3344  0.9323  0.6687  3 Tm 2.83-2.85, 1 Ho 2.89, 2 Pr 3.01
Se  0.6656  0.0677  0.3313  3 Tm 2.83-2.85, 1 Ho 2.89, 2 Pr 3.01
Se  0.0058  0.7502  0.0117  3 Tm 2.87-2.89, 2 Ho 2.93, 1 Pr 3.04
Se  0.9942  0.2498  0.9883  3 Tm 2.87-2.89, 2 Ho 2.93, 1 Pr 3.04
Se  0.3395  0.4038  0.6789  3 Tm 2.80-2.81, 3 Pr 2.98-3.00
Se  0.6605  0.5962  0.3211  3 Tm 2.80-2.81, 3 Pr 2.98-3.00
Ho  0.5000  0.0000  0.0000  6 Se 2.89-2.93
Tm  0.1707  0.8344  0.3415  6 Se 2.81-2.87
Tm  0.8293  0.1656  0.6585  6 Se 2.81-2.87
Tm  0.5000  0.5000  0.0000  6 Se 2.80-2.89
Pr  0.8314  0.6635  0.6627  6 Se 2.98-3.04
Pr  0.1686  0.3365  0.3373  6 Se 2.98-3.04

Computed properties:
Symmetry   C2/m, No. 12
Uncorrected energy   -5.77 eV/atom
DOS(E_F)   0.418 states/eV per atom
M_tot   0.00 μB per cell

(4)
The following is a DFT calculation (PBE) of an optimized crystal structure of Pr3HoTm2Se6.

a b c (Å): 7.0701 7.0701 7.4008
angles (deg): 99.16 99.16 120.18
Last column: nearest neighbours and their distance in Å.
Element x y z (fractional)
Se  0.0758  0.4117  0.2280  2 Tm 2.84, 1 Ho 2.86, 3 Pr 3.03-3.04
Se  0.5883  0.9242  0.7720  2 Tm 2.84, 1 Ho 2.86, 3 Pr 3.03-3.04
Se  0.9242  0.5883  0.7720  2 Tm 2.84, 1 Ho 2.86, 3 Pr 3.03-3.04
Se  0.4117  0.0758  0.2280  2 Tm 2.84, 1 Ho 2.86, 3 Pr 3.03-3.04
Se  0.7398  0.7398  0.2272  2 Tm 2.83, 1 Ho 2.86, 3 Pr 3.02-3.03
Se  0.2602  0.2602  0.7728  2 Tm 2.83, 1 Ho 2.86, 3 Pr 3.02-3.03
Pr  0.8347  0.1653  0.5000  6 Se 3.03-3.04
Pr  0.5000  0.5000  0.5000  6 Se 3.02-3.04
Pr  0.1653  0.8347  0.5000  6 Se 3.03-3.04
Tm  0.3336  0.6664  0.0000  6 Se 2.83-2.84
Tm  0.6664  0.3336  0.0000  6 Se 2.83-2.84
Ho  0.0000  0.0000  0.0000  6 Se 2.86

Computed properties:
Symmetry   C2/m, No. 12
Uncorrected energy   -5.84 eV/atom
DOS(E_F)   0.430 states/eV per atom
M_tot   0.00 μB per cell

(5)
The following is a DFT calculation (PBE) of an optimized crystal structure of PrHo2TmSe6.

a b c (Å): 7.2511 7.2510 7.7187
angles (deg): 61.99 61.99 60.00
Last column: nearest neighbours and their distance in Å.
Element x y z (fractional)
Pr  0.8117  0.8118  0.5646  6 Se 2.94-3.05
Tm  0.3191  0.3190  0.0428  6 Se 2.83-2.87
Ho  0.5160  0.5159  0.4523  6 Se 2.84-2.89
Ho  0.0112  0.0113  0.9664  6 Se 2.82-2.89
Se  0.9180  0.6076  0.2465  1 Tm 2.83, 2 Ho 2.84-2.89, 1 Pr 3.05
Se  0.2279  0.9179  0.2464  1 Tm 2.83, 2 Ho 2.84-2.89, 1 Pr 3.05
Se  0.6076  0.2280  0.2464  1 Tm 2.83, 2 Ho 2.84-2.89, 1 Pr 3.05
Se  0.3941  0.7242  0.7499  2 Ho 2.82-2.89, 1 Tm 2.87, 1 Pr 2.94
Se  0.1317  0.3942  0.7500  2 Ho 2.82-2.89, 1 Tm 2.87, 1 Pr 2.94
Se  0.7243  0.1316  0.7500  2 Ho 2.82-2.89, 1 Tm 2.87, 1 Pr 2.94

Computed properties:
Symmetry   R3, No. 146
Uncorrected energy   -5.77 eV/atom
DOS(E_F)   0.000 states/eV per atom
M_tot   0.00 μB per cell

(6)
The following is a DFT calculation (PBE) of an optimized crystal structure of Pr3Ho2TmSe6.

a b c (Å): 7.0972 7.0972 7.3858
angles (deg): 99.21 99.21 120.20
Last column: nearest neighbours and their distance in Å.
Element x y z (fractional)
Pr  0.1684  0.8316  0.5000  6 Se 3.02-3.03
Pr  0.8316  0.1684  0.5000  6 Se 3.02-3.03
Pr  0.5000  0.5000  0.5000  6 Se 3.02-3.04
Ho  0.6668  0.3332  0.0000  6 Se 2.86-2.87
Ho  0.3332  0.6668  0.0000  6 Se 2.86-2.87
Se  0.2542  0.2542  0.7700  1 Tm 2.84, 2 Ho 2.87, 3 Pr 3.03-3.04
Se  0.5932  0.9239  0.7714  1 Tm 2.84, 2 Ho 2.86, 3 Pr 3.02-3.03
Se  0.0761  0.4068  0.2286  1 Tm 2.84, 2 Ho 2.86, 3 Pr 3.02-3.03
Se  0.9239  0.5932  0.7714  1 Tm 2.84, 2 Ho 2.86, 3 Pr 3.02-3.03
Se  0.7458  0.7458  0.2300  1 Tm 2.84, 2 Ho 2.87, 3 Pr 3.03-3.04
Se  0.4068  0.0761  0.2286  1 Tm 2.84, 2 Ho 2.86, 3 Pr 3.02-3.03
Tm  0.0000  0.0000  0.0000  6 Se 2.84

Computed properties:
Symmetry   C2/m, No. 12
Uncorrected energy   -5.86 eV/atom
DOS(E_F)   0.441 states/eV per atom
M_tot   0.00 μB per cell

(7)
The following is a DFT calculation (PBE) of an optimized crystal structure of Pr3HoTm3Se8.

a b c (Å): 8.1826 8.1835 8.3206
angles (deg): 119.45 90.00 120.00
Last column: nearest neighbours and their distance in Å.
Element x y z (fractional)
Se  0.2634  0.0143  0.2651  2 Tm 2.83, 1 Ho 2.91, 2 Pr 3.00
Se  0.7509  0.0143  0.2651  2 Tm 2.83, 1 Ho 2.91, 2 Pr 3.00
Se  0.7366  0.9857  0.7349  2 Tm 2.83, 1 Ho 2.91, 2 Pr 3.00
Se  0.7508  0.5016  0.2653  2 Tm 2.83, 1 Ho 2.91, 2 Pr 3.00
Se  0.2491  0.9857  0.7349  2 Tm 2.83, 1 Ho 2.91, 2 Pr 3.00
Se  0.2572  0.5145  0.2715  3 Tm 2.83, 3 Pr 3.01
Se  0.2492  0.4984  0.7347  2 Tm 2.83, 1 Ho 2.91, 2 Pr 3.00
Se  0.7428  0.4855  0.7285  3 Tm 2.83, 3 Pr 3.01
Ho  0.0000  0.0000  0.5000  6 Se 2.91
Tm  0.5000  0.0000  0.5000  6 Se 2.83
Tm  0.5000  0.5000  0.5000  6 Se 2.83
Tm  0.0000  0.5000  0.5000  6 Se 2.83
Pr  0.0000  0.5000  0.0000  6 Se 3.00-3.01
Pr  0.5000  0.5000  0.0000  6 Se 3.00-3.01
Pr  0.0000  0.0000  0.0000  6 Se 3.00-3.01

Computed properties:
Symmetry   R-3m, No. 166
Uncorrected energy   -5.84 eV/atom
DOS(E_F)   0.464 states/eV per atom
M_tot   0.00 μB per cell

(8)
The following is a DFT calculation (PBE) of an optimized crystal structure of PrHoTm2Se6.

a b c (Å): 7.2371 7.2372 7.6907
angles (deg): 61.93 61.93 59.99
Last column: nearest neighbours and their distance in Å.
Element x y z (fractional)
Ho  0.3178  0.3178  0.0466  6 Se 2.85-2.90
Se  0.9106  0.6134  0.2453  2 Tm 2.82-2.86, 1 Ho 2.85, 1 Pr 3.05
Se  0.1346  0.3895  0.7473  2 Tm 2.80-2.86, 1 Ho 2.90, 1 Pr 2.94
Se  0.6134  0.2309  0.2452  2 Tm 2.82-2.86, 1 Ho 2.85, 1 Pr 3.05
Se  0.7287  0.1345  0.7473  2 Tm 2.80-2.86, 1 Ho 2.90, 1 Pr 2.94
Se  0.3894  0.7287  0.7473  2 Tm 2.80-2.86, 1 Ho 2.90, 1 Pr 2.94
Se  0.2308  0.9105  0.2452  2 Tm 2.81-2.86, 1 Ho 2.85, 1 Pr 3.05
Tm  0.5149  0.5148  0.4555  6 Se 2.81-2.86
Tm  0.0107  0.0107  0.9679  6 Se 2.80-2.86
Pr  0.8108  0.8108  0.5675  6 Se 2.94-3.05

Computed properties:
Symmetry   R3, No. 146
Uncorrected energy   -5.76 eV/atom
DOS(E_F)   0.000 states/eV per atom
M_tot   0.00 μB per cell

(9)
The following is a DFT calculation (PBE) of an optimized crystal structure of Pr2HoTmSe6.

a b c (Å): 7.3565 7.3565 7.7490
angles (deg): 61.66 61.66 60.00
Last column: nearest neighbours and their distance in Å.
Element x y z (fractional)
Ho  0.8189  0.8190  0.5431  6 Se 2.83-2.88
Se  0.1013  0.4398  0.7605  1 Ho 2.83, 1 Tm 2.86, 2 Pr 2.96-3.05
Se  0.4397  0.6985  0.7604  1 Ho 2.83, 1 Tm 2.86, 2 Pr 2.96-3.05
Se  0.9423  0.5985  0.2591  1 Tm 2.81, 1 Ho 2.88, 2 Pr 2.96-3.05
Se  0.5986  0.2001  0.2591  1 Tm 2.81, 1 Ho 2.88, 2 Pr 2.96-3.05
Se  0.6986  0.1013  0.7604  1 Ho 2.83, 1 Tm 2.86, 2 Pr 2.96-3.05
Se  0.2001  0.9422  0.2591  1 Tm 2.81, 1 Ho 2.88, 2 Pr 2.96-3.05
Pr  0.5216  0.5216  0.4354  6 Se 2.96-3.05
Pr  0.0212  0.0212  0.9365  6 Se 2.96-3.05
Tm  0.3195  0.3194  0.0417  6 Se 2.81-2.86

Computed properties:
Symmetry   R3, No. 146
Uncorrected energy   -5.79 eV/atom
DOS(E_F)   0.000 states/eV per atom
M_tot   0.00 μB per cell

(10)
The following is a DFT calculation (PBE) of an optimized crystal structure of PrHo3Tm2Se6.

a b c (Å): 7.0767 7.0767 7.0559
angles (deg): 99.55 99.55 120.23
Last column: nearest neighbours and their distance in Å.
Element x y z (fractional)
Ho  0.8441  0.1559  0.5000  6 Se 2.85-2.91
Ho  0.1559  0.8441  0.5000  6 Se 2.85-2.91
Ho  0.5000  0.5000  0.5000  6 Se 2.80-2.91
Se  0.7345  0.7345  0.2478  3 Ho 2.80-2.85, 2 Tm 2.82, 1 Pr 2.96
Se  0.9154  0.5659  0.7439  2 Tm 2.86-2.88, 3 Ho 2.87-2.91, 1 Pr 3.00
Se  0.2655  0.2655  0.7522  3 Ho 2.80-2.85, 2 Tm 2.82, 1 Pr 2.96
Se  0.4341  0.0846  0.2561  2 Tm 2.86-2.88, 3 Ho 2.87-2.91, 1 Pr 3.00
Se  0.5659  0.9154  0.7439  2 Tm 2.86-2.88, 3 Ho 2.87-2.91, 1 Pr 3.00
Se  0.0846  0.4341  0.2561  2 Tm 2.86-2.88, 3 Ho 2.87-2.91, 1 Pr 3.00
Tm  0.3348  0.6652  0.0000  6 Se 2.82-2.88
Tm  0.6652  0.3348  0.0000  6 Se 2.82-2.88
Pr  0.0000  0.0000  0.0000  6 Se 2.96-3.00

Computed properties:
Symmetry   C2/m, No. 12
Uncorrected energy   -5.75 eV/atom
DOS(E_F)   0.418 states/eV per atom
M_tot   0.00 μB per cell

Number 1: uncorrected formation energy -1.37 eV per atom. Number 2: uncorrected formation energy -1.38 eV per atom. Number 3: uncorrected formation energy -1.74 eV per atom. Number 4: uncorrected formation energy -1.78 eV per atom. Number 5: uncorrected formation energy -1.84 eV per atom. Number 6: uncorrected formation energy -1.78 eV per atom. Number 7: uncorrected formation energy -1.83 eV per atom. Number 8: uncorrected formation energy -1.84 eV per atom. Number 9: uncorrected formation energy -1.84 eV per atom. Number 10: uncorrected formation energy -1.72 eV per atom.